Compound: Sn2HgAs
Source: Alexandria via LeMat-Bulk
Functional: PBE
Structure: relaxed

Structure (POSCAR):
```
Sn2HgAs
1.0
3.6647 0.0000 0.0000
0.0000 3.6647 0.0000
0.0000 0.0000 7.5863
Sn Hg As
2 1 1
Cartesian
0.0000 0.0000 1.6371
0.0000 0.0000 5.9492
1.8324 1.8324 3.7932
1.8324 1.8324 0.0000
```

Output
D(E_F) = 0.5658 states/eV per atom
ΔE_f = 0.073 eV per atom
Symmetry = P4/mmm, No. 123

---

Compound: Ta3NiAg
Source: Alexandria via LeMat-Bulk
Functional: PBE
Structure: relaxed

Structure (POSCAR):
```
Ta3NiAg
1.0
4.6087 0.0000 0.0000
0.0000 4.6087 0.0000
0.0000 0.0000 4.6087
Ta Ni Ag
3 1 1
Cartesian
0.0000 0.0000 2.3044
0.0000 2.3044 0.0000
2.3044 0.0000 0.0000
0.0000 0.0000 0.0000
2.3044 2.3044 2.3044
```

Output
D(E_F) = 1.0630 states/eV per atom
ΔE_f = 0.936 eV per atom
Symmetry = Pm-3m, No. 221

---

Compound: Sr2CdIr
Source: Alexandria via LeMat-Bulk
Functional: PBE
Structure: relaxed

Structure (POSCAR):
```
Sr2CdIr
1.0
10.8456 0.0000 0.0000
0.0000 10.8456 0.0000
0.0000 0.0000 5.3096
Sr Cd Ir
8 4 4
Cartesian
0.8934 2.7114 0.6637
2.7114 6.3162 1.9911
2.7114 9.9522 4.6459
4.5294 2.7114 3.3185
6.3162 8.1342 3.3185
8.1342 0.8934 4.6459
8.1342 4.5294 1.9911
9.9522 8.1342 0.6637
0.0000 0.0000 2.6548
0.0000 5.4228 3.9822
5.4228 0.0000 1.3274
5.4228 5.4228 0.0000
0.0000 0.0000 0.0000
0.0000 5.4228 1.3274
5.4228 0.0000 3.9822
5.4228 5.4228 2.6548
```

Output
D(E_F) = 0.9600 states/eV per atom
ΔE_f = -0.055 eV per atom
Symmetry = I-42d, No. 122

---

Compound: Ba3BiRh
Source: Alexandria via LeMat-Bulk
Functional: PBE
Structure: relaxed

Structure (POSCAR):
```
Ba3BiRh
1.0
8.2019 0.0000 0.0000
0.0000 5.7284 0.0000
-1.6572 0.0000 8.5728
Ba Bi Rh
6 2 2
Cartesian
0.0000 0.0000 0.0000
-0.2832 2.8642 2.8621
1.5000 0.0000 5.1685
3.5322 0.0000 1.2045
3.2230 2.8642 7.3328
5.4674 0.0000 4.8505
-0.5536 2.8642 6.6027
3.3557 2.8642 3.3110
1.8909 2.8642 0.7636
3.7871 0.0000 7.3119
```

Output
D(E_F) = 0.3081 states/eV per atom
ΔE_f = -0.462 eV per atom
Symmetry = Pm, No. 6

---

Compound: TbDyZnIn
Source: Alexandria via LeMat-Bulk
Functional: PBE
Structure: relaxed

Structure (POSCAR):
```
TbDyZnIn
1.0
7.3674 0.0000 0.0000
0.0000 7.3674 0.0000
0.0000 0.0000 7.3674
Tb Dy Zn In
4 4 4 4
Cartesian
0.0000 0.0000 0.0000
0.0000 3.6837 3.6837
3.6837 0.0000 3.6837
3.6837 3.6837 0.0000
0.0000 0.0000 3.6837
0.0000 3.6837 0.0000
3.6837 0.0000 0.0000
3.6837 3.6837 3.6837
1.8418 1.8418 5.5255
1.8418 5.5255 1.8418
5.5255 1.8418 1.8418
5.5255 5.5255 5.5255
1.8418 1.8418 1.8418
1.8418 5.5255 5.5255
5.5255 1.8418 5.5255
5.5255 5.5255 1.8418
```

Output
D(E_F) = 0.8934 states/eV per atom
ΔE_f = -0.398 eV per atom
Symmetry = F-43m, No. 216

---

Compound: Tb2Ho3ThSe6
Source: Alexandria via LeMat-Bulk
Functional: PBE
Structure: relaxed

Structure (POSCAR):
```
Tb2Ho3ThSe6
1.0
8.9486 -2.0387 0.0000
8.9486 2.0387 0.0000
-1.9551 0.0000 7.9991
Tb Ho Th Se
2 3 1 6
Cartesian
2.2744 0.0000 2.6184
13.6677 0.0000 5.3807
1.2825 0.0000 6.6708
7.9711 0.0000 3.9995
14.6596 0.0000 1.3282
8.9486 0.0000 0.0000
-1.4291 0.0000 5.9030
4.0689 0.0000 7.3327
5.1343 0.0000 3.3152
10.8078 0.0000 4.6838
11.8732 0.0000 0.6663
17.3712 0.0000 2.0960
```

Output
D(E_F) = 0.5568 states/eV per atom
Raw formation energy = -1.70 eV/atom
Symmetry = C2/m, No. 12

---

Compound: BaSnSbPd3
Source: Alexandria via LeMat-Bulk
Functional: PBE
Structure: relaxed

Structure (POSCAR):
```
BaSnSbPd3
1.0
3.4561 -6.5186 0.0000
3.4561 6.5186 0.0000
0.0000 0.0000 6.7933
Ba Sn Sb Pd
2 2 2 6
Cartesian
3.4561 3.7481 5.0949
3.4561 -3.7481 1.6983
3.4561 0.2253 5.0949
3.4561 -0.2253 1.6983
3.4561 4.9928 1.6983
3.4561 -4.9928 5.0949
1.4221 0.0000 0.0000
1.4221 0.0000 3.3966
3.4561 2.3930 1.6983
3.4561 -2.3930 5.0949
5.4901 0.0000 0.0000
5.4901 0.0000 3.3966
```

Output
D(E_F) = 0.3366 states/eV per atom
Raw formation energy = -0.54 eV/atom
Symmetry = Cmcm, No. 63

---

Compound: PmPrHo2Hg4
Source: Alexandria via LeMat-Bulk
Functional: PBE
Structure: relaxed

Structure (POSCAR):
```
PmPrHo2Hg4
1.0
2.6713 1.5423 8.7219
-2.6713 1.5423 8.7219
0.0000 -3.0845 8.7219
Pm Pr Ho Hg
1 1 2 4
Cartesian
0.0000 0.0000 0.0000
0.0000 0.0000 13.0829
0.0000 0.0000 6.5474
0.0000 0.0000 19.6184
0.0000 0.0000 3.2425
0.0000 0.0000 9.7843
0.0000 0.0000 16.3816
0.0000 0.0000 22.9233
```

Output
D(E_F) = 1.1507 states/eV per atom
ΔE_f = -0.465 eV per atom
Symmetry = R-3m, No. 166

---

Compound: LiNdMgHg
Source: Alexandria via LeMat-Bulk
Functional: PBE
Structure: relaxed

Structure (POSCAR):
```
LiNdMgHg
1.0
7.2040 0.0000 0.0000
0.0000 7.2040 0.0000
0.0000 0.0000 7.2040
Li Nd Mg Hg
4 4 4 4
Cartesian
0.0000 0.0000 0.0000
0.0000 3.6020 3.6020
3.6020 0.0000 3.6020
3.6020 3.6020 0.0000
1.8010 1.8010 5.4030
1.8010 5.4030 1.8010
5.4030 1.8010 1.8010
5.4030 5.4030 5.4030
1.8010 1.8010 1.8010
1.8010 5.4030 5.4030
5.4030 1.8010 5.4030
5.4030 5.4030 1.8010
0.0000 0.0000 3.6020
0.0000 3.6020 0.0000
3.6020 0.0000 0.0000
3.6020 3.6020 3.6020
```

Output
D(E_F) = 0.5701 states/eV per atom
ΔE_f = -0.328 eV per atom
Symmetry = F-43m, No. 216

---

Compound: KVSi
Source: Alexandria via LeMat-Bulk
Functional: PBE
Structure: relaxed

Structure (POSCAR):
```
KVSi
1.0
3.5966 0.0000 0.0000
0.0000 6.1892 0.0000
0.0000 0.0000 3.3300
K V Si
1 1 1
Cartesian
0.0000 0.0000 0.0000
1.7983 3.0946 3.3181
0.0000 3.0946 1.6532
```

Output
D(E_F) = 0.3937 states/eV per atom
Raw formation energy = 0.27 eV/atom
Symmetry = Pmm2, No. 25

---

Compound: Al3GaAg2
Source: Alexandria via LeMat-Bulk
Functional: PBE
Structure: relaxed

Structure (POSCAR):
```
Al3GaAg2
1.0
6.4718 0.0000 0.0000
0.0000 4.1650 0.0000
-0.2326 0.0000 8.2489
Al Ga Ag
6 2 4
Cartesian
0.1598 1.0412 3.1432
1.5893 1.0412 5.4579
2.1964 1.0412 0.5260
4.0428 3.1237 7.7229
4.6499 3.1237 2.7909
6.0793 3.1237 5.1057
0.6271 3.1237 1.4271
5.6121 1.0412 6.8218
1.3999 3.1237 7.1674
2.8419 1.0412 3.1208
3.3973 3.1237 5.1280
4.8393 1.0412 1.0814
```

Output
D(E_F) = 0.3104 states/eV per atom
ΔE_f = 0.044 eV per atom
Symmetry = P2_1/m, No. 11

---

Compound: Ce5FeHg2
Source: Alexandria via LeMat-Bulk
Functional: PBE
Structure: relaxed

Structure (POSCAR):
```
Ce5FeHg2
1.0
2.3523 -8.6497 0.0000
2.3523 8.6497 0.0000
0.0000 0.0000 12.2127
Ce Fe Hg
10 2 4
Cartesian
2.3523 7.7314 7.2964
2.3523 7.7314 11.0226
2.3523 4.0418 6.9186
2.3523 4.0418 11.4004
2.3523 3.2033 3.0532
2.3523 -3.2033 9.1595
2.3523 -4.0418 0.8123
2.3523 -4.0418 5.2940
2.3523 -7.7314 1.1901
2.3523 -7.7314 4.9163
2.3523 5.7842 9.1595
2.3523 -5.7842 3.0532
2.3523 6.4574 1.6534
2.3523 6.4574 4.4530
2.3523 -6.4574 7.7597
2.3523 -6.4574 10.5593
```

Output
D(E_F) = 2.9004 states/eV per atom
ΔE_f = 0.161 eV per atom
Symmetry = Cmcm, No. 63

---

Compound: CsSICl2
Source: Alexandria via LeMat-Bulk
Functional: PBE
Structure: relaxed

Structure (POSCAR):
```
CsSICl2
1.0
6.1126 0.0000 0.0000
0.0000 6.1126 0.0000
0.0000 0.0000 5.7014
Cs S I Cl
1 1 1 2
Cartesian
0.0000 0.0000 0.0000
0.0000 0.0000 2.8507
3.0563 3.0563 2.8507
0.0000 3.0563 0.0000
3.0563 0.0000 0.0000
```

Output
D(E_F) = 1.8466 states/eV per atom
Raw formation energy = 0.38 eV/atom
Symmetry = P4/mmm, No. 123

---

Compound: Cs2PmAgF6
Source: Alexandria via LeMat-Bulk
Functional: PBE
Structure: relaxed

Structure (POSCAR):
```
Cs2PmAgF6
1.0
0.0000 4.7580 4.7580
4.7580 0.0000 4.7580
4.7580 4.7580 0.0000
Cs Pm Ag F
2 1 1 6
Cartesian
2.3790 2.3790 2.3790
7.1371 7.1371 7.1371
0.0000 0.0000 0.0000
4.7580 4.7580 4.7580
4.7580 4.7580 2.2618
4.7580 2.2618 4.7580
7.2543 4.7580 4.7580
2.2618 4.7580 4.7580
4.7580 7.2543 4.7580
4.7580 4.7580 7.2543
```

Output
D(E_F) = 0.0000 states/eV per atom
Raw formation energy = -2.93 eV/atom
Symmetry = Fm-3m, No. 225

---

Compound: ErThBiAs
Source: Alexandria via LeMat-Bulk
Functional: PBE
Structure: relaxed

Structure (POSCAR):
```
ErThBiAs
1.0
4.3168 0.0000 0.0000
-2.1584 3.7384 0.0000
0.0000 0.0000 21.5284
Er Th Bi As
3 3 3 3
Cartesian
0.0000 0.0000 0.0000
0.0000 2.4923 14.3523
2.1584 1.2461 7.1761
0.0000 0.0000 11.1619
0.0000 2.4923 3.9858
2.1584 1.2461 18.3380
0.0000 0.0000 16.2713
0.0000 2.4923 9.0951
2.1584 1.2461 1.9190
0.0000 0.0000 5.6675
0.0000 2.4923 20.0198
2.1584 1.2461 12.8436
```

Output
D(E_F) = 0.5294 states/eV per atom
ΔE_f = -1.055 eV per atom
Symmetry = R3m, No. 160

---

Compound: PaBe2GaCo4
Source: Alexandria via LeMat-Bulk
Functional: PBE
Structure: relaxed

Structure (POSCAR):
```
PaBe2GaCo4
1.0
1.9046 1.0996 7.7111
-1.9046 1.0996 7.7111
0.0000 -2.1992 7.7111
Pa Be Ga Co
1 2 1 4
Cartesian
0.0000 0.0000 0.0000
0.0000 0.0000 5.4008
0.0000 0.0000 17.7326
0.0000 0.0000 11.5667
0.0000 0.0000 2.9087
0.0000 0.0000 9.2070
0.0000 0.0000 13.9264
0.0000 0.0000 20.2248
```

Output
D(E_F) = 0.6569 states/eV per atom
ΔE_f = -0.265 eV per atom
Symmetry = R-3m, No. 166

---

Compound: Ta7Ti2Re2
Source: Alexandria via LeMat-Bulk
Functional: PBE
Structure: relaxed

Structure (POSCAR):
```
Ta7Ti2Re2
1.0
2.6067 -4.2989 0.0000
2.6067 4.2989 0.0000
-1.7557 0.0000 8.8659
Ta Ti Re
7 2 2
Cartesian
0.0000 0.0000 0.0000
0.4049 0.0000 2.5450
0.4722 1.4684 7.4485
2.9856 1.4684 1.4174
0.4722 -1.4684 7.4485
2.9856 -1.4684 1.4174
3.0529 0.0000 6.3209
1.7289 2.1546 4.4329
1.7289 -2.1546 4.4329
0.4219 0.0000 5.1681
3.0359 0.0000 3.6977
```

Output
D(E_F) = 1.0774 states/eV per atom
ΔE_f = 0.109 eV per atom
Symmetry = C2/m, No. 12

---

Compound: Ac3LaCe2Te6
Source: Alexandria via LeMat-Bulk
Functional: PBE
Structure: relaxed

Structure (POSCAR):
```
Ac3LaCe2Te6
1.0
10.1235 -2.2990 0.0000
10.1235 2.2990 0.0000
-2.2603 0.0000 9.0621
Ac La Ce Te
3 1 2 6
Cartesian
0.0000 0.0000 0.0000
5.2688 0.0000 6.0458
12.7179 0.0000 3.0163
-1.1301 0.0000 4.5311
6.3518 0.0000 1.4905
11.6349 0.0000 7.5717
2.0059 0.0000 5.3737
3.2589 0.0000 0.6866
9.4576 0.0000 2.3041
8.5291 0.0000 6.7580
14.7278 0.0000 8.3755
15.9807 0.0000 3.6884
```

Output
D(E_F) = 1.5725 states/eV per atom
Raw formation energy = -1.46 eV/atom
Symmetry = C2/m, No. 12

---

Compound: CsEr6S8
Source: Alexandria via LeMat-Bulk
Functional: PBE
Structure: relaxed

Structure (POSCAR):
```
CsEr6S8
1.0
5.5424 3.1999 4.2856
-5.5424 3.1999 4.2856
0.0000 -6.3998 4.2856
Cs Er S
1 6 8
Cartesian
0.0000 0.0000 0.0000
-2.0815 -0.0025 4.9484
1.0429 -1.8014 4.9484
-1.0386 -1.8039 7.9084
1.0386 1.8039 4.9484
-1.0429 1.8014 7.9084
2.0815 0.0025 7.9084
-1.4935 -2.6858 5.3468
0.0000 0.0000 3.3469
-3.0727 -0.0495 7.5101
-1.5793 2.6363 5.3468
1.5793 -2.6363 7.5101
3.0727 0.0495 5.3468
0.0000 0.0000 9.5099
1.4935 2.6858 7.5101
```

Output
D(E_F) = 0.5254 states/eV per atom
Raw formation energy = -1.83 eV/atom
Symmetry = R-3, No. 148

---

Compound: Pm2MgGe2Rh5
Source: Alexandria via LeMat-Bulk
Functional: PBE
Structure: relaxed

Structure (POSCAR):
```
Pm2MgGe2Rh5
1.0
10.0158 0.0000 0.0000
0.0000 10.0158 0.0000
0.0000 0.0000 3.5733
Pm Mg Ge Rh
4 2 4 10
Cartesian
1.7456 3.2623 0.0000
3.2623 8.2702 0.0000
6.7535 1.7456 0.0000
8.2702 6.7535 0.0000
0.0000 0.0000 0.0000
5.0079 5.0079 0.0000
1.2464 6.2543 0.0000
3.7615 1.2464 0.0000
6.2543 8.7694 0.0000
8.7694 3.7615 0.0000
0.0000 5.0079 1.7867
0.6689 7.8853 1.7867
2.1306 0.6689 1.7867
2.8774 5.6769 1.7867
4.3390 2.8774 1.7867
5.0079 0.0000 1.7867
5.6769 7.1385 1.7867
7.1385 4.3390 1.7867
7.8853 9.3469 1.7867
9.3469 2.1306 1.7867
```

Output
D(E_F) = 0.4393 states/eV per atom
ΔE_f = -0.726 eV per atom
Symmetry = P4/mbm, No. 127

---

Compound: Rb6ClF5
Source: Alexandria via LeMat-Bulk
Functional: PBE
Structure: relaxed

Structure (POSCAR):
```
Rb6ClF5
1.0
3.6284 -6.2705 0.0000
3.6284 6.2705 0.0000
-2.4321 0.0000 6.8116
Rb Cl F
6 1 5
Cartesian
1.0810 2.2663 1.6558
-0.1797 0.0000 5.2555
1.0810 -2.2663 1.6558
3.7438 2.2663 5.1557
5.0045 0.0000 1.5560
3.7438 -2.2663 5.1557
2.4124 0.0000 3.4058
0.0000 0.0000 0.0000
2.4124 4.1617 3.4058
3.6284 2.0607 0.0000
3.6284 -2.0607 0.0000
2.4124 -4.1617 3.4058
```

Output
D(E_F) = 0.0000 states/eV per atom
Raw formation energy = -2.52 eV/atom
Symmetry = C2/m, No. 12

---

Compound: LiTcP2
Source: Alexandria via LeMat-Bulk
Functional: PBE
Structure: relaxed

Structure (POSCAR):
```
LiTcP2
1.0
3.0477 0.0000 0.0000
-1.5238 2.6393 0.0000
0.0000 0.0000 22.0759
Li Tc P
3 3 6
Cartesian
0.0000 0.0000 0.0000
0.0000 1.7596 14.7173
1.5238 0.8798 7.3586
0.0000 0.0000 11.0380
0.0000 1.7596 3.6793
1.5238 0.8798 18.3966
0.0000 0.0000 5.3630
0.0000 0.0000 16.7129
0.0000 1.7596 9.3543
0.0000 1.7596 20.0803
1.5238 0.8798 1.9956
1.5238 0.8798 12.7217
```

Output
D(E_F) = 0.2044 states/eV per atom
ΔE_f = -0.395 eV per atom
Symmetry = R-3m, No. 166

---

Compound: RbVAs3
Source: Alexandria via LeMat-Bulk
Functional: PBE
Structure: relaxed

Structure (POSCAR):
```
RbVAs3
1.0
4.9086 0.0000 0.0000
0.0000 4.9086 0.0000
0.0000 0.0000 4.9086
Rb V As
1 1 3
Cartesian
0.0000 0.0000 0.0000
2.4543 2.4543 2.4543
0.0000 2.4543 2.4543
2.4543 0.0000 2.4543
2.4543 2.4543 0.0000
```

Output
D(E_F) = 1.5451 states/eV per atom
ΔE_f = -0.076 eV per atom
Symmetry = Pm-3m, No. 221